[1]
Computed, not measured: a relaxed Er2InAgSe4 crystal at the PBE-GGA level of DFT.

abc: 4.1347 7.2165 14.8427
angles: 90.00 90.00 106.65
Element x y z (fractional)
1 Er 0.6303 0.2607 0.4311
2 Se 0.7326 0.4652 0.6010
3 Se 0.4518 0.9036 0.7500
4 Se 0.2674 0.5348 0.1010
5 Se 0.7326 0.4652 0.8990
6 In 0.1228 0.2457 0.7500
7 Se 0.0000 0.0000 0.5000
8 In 0.8772 0.7543 0.2500
9 Er 0.6303 0.2607 0.0689
10 Ag 0.1660 0.3320 0.2500
11 Se 0.5482 0.0964 0.2500
12 Er 0.3697 0.7393 0.9311
13 Se 0.2674 0.5348 0.3990
14 Ag 0.8340 0.6680 0.7500
15 Er 0.3697 0.7393 0.5689
16 Se 0.0000 0.0000 0.0000

Results
M_tot = 0.00 μB per cell
space group = Cmcm (63)
V = 424 Å³/cell
raw formation energy = -1.2151 eV/atom


[2]
Computed, not measured: a relaxed Li3TlPd crystal at the PBE-GGA level of DFT.

abc: 4.2511 8.0368 5.6022
angles: 112.64 90.00 105.34
Element x y z (fractional)
1 Li 0.0123 0.0245 0.7744
2 Li 0.3808 0.7616 0.2525
3 Li 0.6192 0.2384 0.7475
4 Li 0.7995 0.5990 0.4053
5 Li 0.2005 0.4010 0.5947
6 Tl 0.6063 0.2127 0.2281
7 Pd 0.8016 0.6031 0.9254
8 Li 0.9877 0.9755 0.2256
9 Pd 0.1984 0.3969 0.0746
10 Tl 0.3937 0.7873 0.7719

Results
M_tot = 0.00 μB per cell
space group = C2/m (12)
V = 169 Å³/cell
energy of formation = -304 meV per atom
ΔE to the lowest computed polymorph = 0.001 eV/atom


[3]
Computed, not measured: a relaxed Cu3Te4As crystal at the PBE-GGA level of DFT.

abc: 7.0180 7.2952 8.5087
angles: 90.00 90.00 90.00
Element x y z (fractional)
1 Cu 0.5008 0.8350 0.0000
2 Te 0.6100 0.1698 0.0000
3 Te 0.1344 0.3424 0.2624
4 Cu 0.5003 0.3297 0.7491
5 Te 0.1341 0.8207 0.0000
6 Cu 0.0003 0.6703 0.2491
7 Te 0.6341 0.1793 0.5000
8 Cu 0.0003 0.6703 0.7509
9 As 0.0010 0.1684 0.0000
10 Te 0.1344 0.3424 0.7376
11 Te 0.1100 0.8302 0.5000
12 Te 0.6344 0.6576 0.2376
13 Te 0.6344 0.6576 0.7624
14 Cu 0.0008 0.1650 0.5000
15 As 0.5010 0.8316 0.5000
16 Cu 0.5003 0.3297 0.2509

Results
M_tot = 0.00 μB per cell
space group = Pmn2_1 (31)
V = 436 Å³/cell
raw formation energy = -0.0324 eV/atom